[1]
Computed, not measured: crystalline Ce3ZnGe at its relaxed geometry at the PBE level of DFT.

The value obtained for the formation energy from the elements is -0.245 eV per atom.

Cell lengths 5.7738, 9.8251, 8.4304 Å; angles 90.00, 90.00, 90.00 degrees
Closest atoms and distances in Å follow each position.
Space group Imma (No. 74)
One atom of each set of equivalent atoms:
Ce: 0.0000 0.0984 0.1232 [8 per cell]  2 Ce 2.84-2.98, 1 Zn 2.95
Ce: 0.2500 0.2500 0.7500 [4 per cell]  2 Ce 2.89, 2 Zn 3.10
Zn: 0.0000 0.2500 0.4251 [4 per cell]  2 Ge 2.54
Ge: 0.0000 0.0000 0.5000 [4 per cell]  2 Zn 2.54



[2]
Computed, not measured: crystalline OsS2N at its relaxed geometry at the PBE level of DFT.

The uncorrected formation energy is 1.33 eV per atom.

Cell lengths 2.9312, 2.9312, 21.6899 Å; angles 90.00, 90.00, 120.00 degrees
Closest atoms and distances in Å follow each position.
Space group R-3m (No. 166, hexagonal axes)
One atom of each set of equivalent atoms:
Os: 0.0000 0.0000 0.0000 [3 per cell]  2 S 2.22
S: 0.0000 0.0000 0.1024 [6 per cell]  3 N 2.19, 1 Os 2.22
N: 0.0000 0.0000 0.5000 [3 per cell]  6 S 2.19



[3]
Computed, not measured: crystalline UInTe2 at its relaxed geometry at the PBE level of DFT.

The uncorrected formation energy is -0.30 eV per atom.

Cell lengths 5.2913, 5.2913, 3.9284 Å; angles 90.00, 90.00, 90.00 degrees
Closest atoms and distances in Å follow each position.
Space group P4/mmm (No. 123)
One atom of each set of equivalent atoms:
U: 0.0000 0.0000 0.0000 [1 per cell]  8 Te 3.30
In: 0.5000 0.5000 0.0000 [1 per cell]  8 Te 3.30
Te: 0.0000 0.5000 0.5000 [2 per cell]  4 In 3.30, 4 U 3.30



no.,spin magnetization (μB/atom)
1,0.518
2,0.000
3,0.737